A relaxed K2Rb6AuF crystal, computed with PBE.

Cell lengths 9.082, 9.082, 9.831 Å; angles 117.57, 117.57, 89.94 degrees
Element x y z (fractional)
Rb (0.778, 0.779, 0.005)
Rb (0.226, 0.227, 0.005)
Rb (0.226, 0.779, 0.005)
Rb (0.779, 0.226, 0.005)
Rb (0.710, 0.710, 0.420)
Rb (0.234, 0.235, 0.468)
Au (0.475, 0.475, 0.949)
K (0.763, 0.263, 0.525)
K (0.262, 0.764, 0.525)
F (0.046, 0.046, 0.091)

Crystal system   monoclinic
Raw formation energy   -0.54 eV per atom



A relaxed KRb6AuF crystal, computed with PBE.

Cell lengths 8.804, 8.804, 8.495 Å; angles 90.10, 89.90, 59.83 degrees
Element x y z (fractional)
F (0.333, 0.333, 0.500)
Rb (0.035, 0.381, 0.288)
Rb (0.381, 0.585, 0.289)
Rb (0.585, 0.033, 0.289)
Rb (0.381, 0.035, 0.712)
Rb (0.585, 0.381, 0.711)
Rb (0.033, 0.585, 0.711)
K (0.000, 0.000, 0.000)
Au (0.666, 0.666, 0.500)

Crystal system   monoclinic
Raw formation energy   -0.57 eV per atom



A relaxed KRb2AuF crystal, computed with PBE.

Cell lengths 7.053, 4.606, 7.053 Å; angles 90.00, 90.00, 90.00 degrees
Element x y z (fractional)
K (0.000, 0.000, 0.000)
Rb (0.500, 0.000, 0.000)
Rb (0.000, 0.000, 0.500)
Au (0.500, 0.500, 0.500)
F (0.000, 0.500, 0.000)

Crystal system   tetragonal
Raw formation energy   -0.77 eV per atom



A relaxed KRbAu2F8 crystal, computed with PBE.

Cell lengths 6.301, 6.301, 7.035 Å; angles 116.61, 116.61, 90.00 degrees
Element x y z (fractional)
F (0.325, 0.043, 0.484)
F (0.159, 0.441, 0.484)
F (0.386, 0.796, 0.013)
F (0.204, 0.373, 0.987)
F (0.957, 0.841, 0.516)
F (0.783, 0.614, 0.987)
F (0.559, 0.675, 0.516)
F (0.627, 0.217, 0.013)
K (0.000, 0.000, 0.000)
Au (0.250, 0.750, 0.500)
Au (0.500, 0.500, 0.000)
Rb (0.750, 0.250, 0.500)

Crystal system   tetragonal
Raw formation energy   -1.74 eV per atom



A relaxed K4RbAuF crystal, computed with PBE.

Cell lengths 9.039, 9.039, 9.843 Å; angles 78.42, 78.42, 71.11 degrees
Element x y z (fractional)
K (0.872, 0.494, 0.858)
K (0.258, 0.258, 0.529)
K (0.742, 0.742, 0.471)
K (0.506, 0.128, 0.142)
K (0.128, 0.506, 0.142)
K (0.531, 0.531, 0.253)
K (0.494, 0.872, 0.858)
K (0.469, 0.469, 0.747)
Au (0.770, 0.770, 0.103)
Au (0.230, 0.230, 0.897)
Rb (0.971, 0.971, 0.793)
Rb (0.029, 0.029, 0.207)
F (0.645, 0.645, 0.720)
F (0.355, 0.355, 0.280)

Crystal system   monoclinic
Raw formation energy   -0.81 eV per atom



A relaxed K2Rb6Au3F crystal, computed with PBE.

Cell lengths 7.918, 9.179, 9.584 Å; angles 118.61, 90.89, 90.00 degrees
Element x y z (fractional)
Rb (0.721, 0.310, 0.148)
Rb (0.720, 0.859, 0.718)
Rb (0.279, 0.690, 0.852)
Rb (0.280, 0.141, 0.282)
Rb (0.279, 0.162, 0.852)
Rb (0.721, 0.838, 0.148)
K (0.776, 0.325, 0.651)
K (0.224, 0.675, 0.349)
Au (0.000, 0.500, 0.000)
Au (0.500, 0.000, 0.500)
Au (0.500, 0.500, 0.500)
F (0.500, 0.000, 0.000)

Crystal system   monoclinic
Raw formation energy   -0.55 eV per atom



A relaxed KRbAuF crystal, computed with PBE.

Cell lengths 5.484, 5.484, 5.484 Å; angles 60.00, 60.00, 60.00 degrees
Element x y z (fractional)
Rb (0.000, 0.000, 0.000)
Au (0.250, 0.250, 0.250)
K (0.500, 0.500, 0.500)
F (0.750, 0.750, 0.750)

Crystal system   cubic
Raw formation energy   -1.25 eV per atom



A relaxed KRb2AuF crystal, computed with PBE.

Cell lengths 4.517, 9.719, 9.012 Å; angles 90.00, 90.00, 103.44 degrees
Element x y z (fractional)
Au (0.306, 0.611, 0.250)
Au (0.694, 0.389, 0.750)
F (0.000, 0.000, 0.500)
F (0.000, 0.000, 0.000)
K (0.513, 0.025, 0.750)
K (0.487, 0.975, 0.250)
Rb (0.147, 0.294, 0.484)
Rb (0.853, 0.706, 0.984)
Rb (0.853, 0.706, 0.516)
Rb (0.147, 0.294, 0.016)

Crystal system   orthorhombic
Raw formation energy   -1.08 eV per atom